1.
Crystalline Er2Si3W2 at its relaxed geometry. Source: OQMD, functional PBE-GGA.

Structure (POSCAR):
```
Er2Si3W2
1.0
7.448 -1.911 0.000
7.448 1.911 0.000
-1.242 0.000 4.609
Er Si W
2 3 2
Cartesian
1.120 0.000 1.051
12.534 0.000 3.558
3.077 0.000 3.100
6.827 0.000 2.305
10.576 0.000 1.509
4.672 0.000 0.992
8.981 0.000 3.618
```

---

2.
Crystalline Er3ZrSi4 at its relaxed geometry. Source: OQMD, functional PBE-GGA.

Structure (POSCAR):
```
Er3ZrSi4
1.0
5.559 0.000 0.000
0.000 3.783 0.000
-0.098 0.000 7.636
Er Zr Si
3 1 4
Cartesian
0.000 0.000 0.000
1.304 1.892 2.749
2.722 1.892 6.537
4.049 0.000 3.803
1.339 0.000 4.871
2.725 0.000 1.104
4.179 1.892 1.732
5.389 1.892 5.428
```

---

3.
Crystalline SmEr at its relaxed geometry. Source: OQMD, functional PBE-GGA.

Structure (POSCAR):
```
SmEr
1.0
3.617 0.000 0.000
-1.808 3.132 0.000
0.000 0.000 5.694
Sm Er
1 1
Cartesian
0.000 0.000 0.000
0.000 2.088 2.847
```

Results
The value obtained for the energy of formation from the pure elements is 0.021 eV/atom. As for the relative energy among the computed polymorphs: 0.000 eV per atom.

---

4.
Crystalline SmEr at its relaxed geometry. Source: OQMD, functional PBE-GGA.

Structure (POSCAR):
```
SmEr
1.0
0.000 3.471 3.471
3.471 0.000 3.471
3.471 3.471 0.000
Sm Er
1 1
Cartesian
0.000 0.000 0.000
1.735 1.735 1.735
```

Results
The value obtained for the energy of formation from the pure elements is 1.825 eV/atom. As for the relative energy among the computed polymorphs: 1.804 eV per atom.

---

5.
Crystalline SmEr at its relaxed geometry. Source: OQMD, functional PBE-GGA.

Structure (POSCAR):
```
SmEr
1.0
0.000 3.218 3.218
3.218 0.000 3.218
3.218 3.218 0.000
Sm Er
1 1
Cartesian
0.000 0.000 0.000
3.218 3.218 3.218
```

Results
The value obtained for the energy of formation from the pure elements is 0.735 eV/atom. As for the relative energy among the computed polymorphs: 0.714 eV per atom.

---

6.
Crystalline Sm2Er at its relaxed geometry. Source: OQMD, functional PBE-GGA.

Structure (POSCAR):
```
Sm2Er
1.0
0.000 4.655 4.655
4.655 0.000 4.655
4.655 4.655 0.000
Sm Er
4 2
Cartesian
0.000 0.000 0.000
2.327 2.327 0.000
2.327 0.000 2.327
0.000 2.327 2.327
3.491 3.491 3.491
5.819 5.819 5.819
```

Results
The value obtained for the energy of formation from the pure elements is 0.257 eV/atom. As for the relative energy among the computed polymorphs: 0.000 eV per atom.

---

7.
Crystalline Sm2Er at its relaxed geometry. Source: OQMD, functional PBE-GGA.

Structure (POSCAR):
```
Sm2Er
1.0
0.000 6.380 6.380
6.380 0.000 6.380
6.380 6.380 0.000
Sm Er
4 2
Cartesian
0.000 0.000 0.000
3.190 3.190 0.000
3.190 0.000 3.190
0.000 3.190 3.190
1.595 1.595 1.595
11.164 11.164 11.164
```

Results
The value obtained for the energy of formation from the pure elements is 3.224 eV/atom. As for the relative energy among the computed polymorphs: 2.967 eV per atom.

---

8.
Crystalline SmErSn2 at its relaxed geometry. Source: OQMD, functional PBE-GGA.

Structure (POSCAR):
```
SmErSn2
1.0
3.344 0.000 0.000
0.000 3.123 6.165
0.000 -3.123 6.165
Sm Er Sn
1 1 2
Cartesian
0.000 0.000 0.000
0.000 0.000 8.872
0.000 0.000 3.059
0.000 0.000 5.887
```

---

Final energy / eV/atom: -7.510, -6.319, -4.616, -2.812, -3.902, -4.405, -1.437, -4.249